[1]
Computed, not measured: TcTe2I2 at its PBEsol-relaxed geometry at the SCAN level of DFT.

a b c (Å): 11.3335 11.3335 11.3335
angles (deg): 159.58 159.58 29.04
With the nearest neighbours (Å) after each atom.
Atoms (fractional coordinates):
Tc1 0.0000 0.0000 0.0000  8 I 3.34
Te1 0.2500 0.7500 0.5000  4 Te 2.84
Te2 0.7500 0.2500 0.5000  4 Te 2.84
I1 0.4203 0.4203 0.0000  4 Tc 3.34, 1 I 3.50
I2 0.5797 0.5797 0.0000  4 Tc 3.34, 1 I 3.50

Crystal system   tetragonal
Formation energy from raw total energies   2.79 eV per formula unit

***

[2]
Computed, not measured: GaPN2 at its PBEsol-relaxed geometry at the SCAN level of DFT.

a b c (Å): 3.7929 3.7929 3.7929
angles (deg): 60.00 60.00 60.00
With the nearest neighbours (Å) after each atom.
Atoms (fractional coordinates):
Ga1 0.0000 0.0000 0.0000  8 N 2.32
P1 0.5000 0.5000 0.5000  8 N 2.32
N1 0.2500 0.2500 0.2500  4 P 2.32, 4 Ga 2.32
N2 0.7500 0.7500 0.7500  4 P 2.32, 4 Ga 2.32

Crystal system   cubic
Energy above the lowest structure with this stoichiometry   1084.7 meV/atom
Formation energy from raw total energies   6.14 eV per formula unit

***

[3]
Computed, not measured: ZnTcRu at its PBEsol-relaxed geometry at the SCAN level of DFT.

a b c (Å): 5.4284 5.4284 5.4284
angles (deg): 149.81 149.81 43.23
With the nearest neighbours (Å) after each atom.
Atoms (fractional coordinates):
Zn1 0.0000 0.0000 0.0000  4 Ru 2.62, 4 Tc 2.66, 4 Zn 2.83
Tc1 0.3263 0.3263 0.0000  4 Ru 2.56, 4 Zn 2.66, 4 Tc 2.83
Ru1 0.6677 0.6677 0.0000  4 Tc 2.56, 4 Zn 2.62, 4 Ru 2.83

Formation energy   -0.0673 eV per atom
Crystal system   tetragonal
Energy above the lowest structure with this stoichiometry   0.0 meV/atom

***

[4]
Computed, not measured: La2ZnRu at its PBEsol-relaxed geometry at the SCAN level of DFT.

a b c (Å): 4.1120 4.3371 5.7318
angles (deg): 90.00 110.96 90.00
With the nearest neighbours (Å) after each atom.
Atoms (fractional coordinates):
La1 0.0000 0.0000 0.0000  3 Zn 3.00-3.17, 4 Ru 3.06-3.07
La2 0.2795 0.5000 0.5606  3 Ru 3.04-3.10, 4 Zn 3.10
Zn1 0.7035 0.0000 0.4081  2 Ru 2.64
Ru1 0.5649 0.5000 0.1283  2 Zn 2.64

Formation energy   -0.2993 eV per atom
Crystal system   monoclinic

***

[5]
Computed, not measured: NbH3O at its PBEsol-relaxed geometry at the SCAN level of DFT.

a b c (Å): 3.4902 3.4902 3.4902
angles (deg): 90.00 90.00 90.00
With the nearest neighbours (Å) after each atom.
Atoms (fractional coordinates):
Nb1 0.0000 0.0000 0.0000  6 H 1.75
H1 0.0000 0.0000 0.5000  2 Nb 1.75
H2 0.0000 0.5000 0.0000  2 Nb 1.75
H3 0.5000 0.0000 0.0000  2 Nb 1.75
O1 0.5000 0.5000 0.5000  12 H 2.47

Crystal system   cubic
E   -9.43 eV per atom

***

[6]
Computed, not measured: Mg2TaFePb at its PBEsol-relaxed geometry at the SCAN level of DFT.

a b c (Å): 5.4233 5.4233 4.3225
angles (deg): 90.00 90.00 90.00
With the nearest neighbours (Å) after each atom.
Atoms (fractional coordinates):
Mg1 0.0000 0.5000 0.0000  2 Ta 2.71
Mg2 0.5000 0.0000 0.0000  2 Ta 2.71
Ta1 0.0000 0.0000 0.0000  2 Fe 2.16
Fe1 0.0000 0.0000 0.5000  2 Ta 2.16
Pb1 0.5000 0.5000 0.5000  8 Mg 3.47, 4 Fe 3.83

Formation energy   1.1377 eV per atom
Crystal system   tetragonal

***

[7]
Computed, not measured: LiZr2Be at its PBEsol-relaxed geometry at the SCAN level of DFT.

a b c (Å): 4.1268 5.5814 5.5814
angles (deg): 31.84 90.00 90.00
With the nearest neighbours (Å) after each atom.
Atoms (fractional coordinates):
Li1 0.0000 0.0000 0.0000  2 Be 2.47
Zr1 0.0000 0.7235 0.7235  4 Be 2.77, 3 Li 2.85-2.97, 2 Zr 3.06
Zr2 0.5000 0.3898 0.3898  3 Be 2.82-2.97, 4 Li 2.83, 6 Zr 3.06-3.13
Be1 0.5000 0.1271 0.1271  2 Li 2.47, 4 Zr 2.77

Formation energy   0.2035 eV per atom
Crystal system   orthorhombic

***

[8]
Computed, not measured: Ca2ZnIr at its PBEsol-relaxed geometry at the SCAN level of DFT.

a b c (Å): 4.2101 5.6512 5.6512
angles (deg): 43.33 90.00 90.00
With the nearest neighbours (Å) after each atom.
Atoms (fractional coordinates):
Ca1 0.0000 0.0000 0.0000  3 Zn 2.98-3.12, 4 Ir 3.08
Ca2 0.5000 0.2833 0.2833  3 Ir 2.99-3.11, 4 Zn 3.08
Zn1 0.0000 0.7027 0.7027  2 Ir 2.47
Ir1 0.5000 0.5797 0.5797  2 Zn 2.47

Formation energy   -0.4225 eV per atom
Crystal system   orthorhombic

***

[9]
Computed, not measured: CaAsPt4 at its PBEsol-relaxed geometry at the SCAN level of DFT.

a b c (Å): 5.2953 5.2953 5.2953
angles (deg): 60.00 60.00 60.00
With the nearest neighbours (Å) after each atom.
Atoms (fractional coordinates):
Ca1 0.0000 0.0000 0.0000  12 Pt 3.11, 4 As 3.24
As1 0.2500 0.2500 0.2500  12 Pt 3.10, 4 Ca 3.24
Pt1 0.1256 0.6248 0.6248  6 Pt 2.64-2.65
Pt2 0.6248 0.1256 0.6248  6 Pt 2.64-2.65
Pt3 0.6248 0.6248 0.1256  6 Pt 2.64-2.65
Pt4 0.6248 0.6248 0.6248  6 Pt 2.64-2.65

Formation energy   -0.4522 eV per atom
Crystal system   cubic

***

[10]
Computed, not measured: Mn2CrPb at its PBEsol-relaxed geometry at the SCAN level of DFT.

a b c (Å): 3.0193 3.0193 6.9111
angles (deg): 90.00 90.00 90.00
With the nearest neighbours (Å) after each atom.
Atoms (fractional coordinates):
Mn1 0.0000 0.0000 0.0000  4 Mn 2.55, 1 Cr 2.67
Mn2 0.5000 0.5000 0.2009  4 Cr 2.49, 4 Mn 2.55
Cr1 0.0000 0.0000 0.3858  5 Mn 2.49-2.67
Pb1 0.5000 0.5000 0.6998  4 Mn 2.98, 4 Pb 3.02, 4 Cr 3.04

Formation energy   0.1118 eV per atom
Crystal system   tetragonal

***

[11]
Computed, not measured: BeRuPt at its PBEsol-relaxed geometry at the SCAN level of DFT.

a b c (Å): 3.8026 3.8026 3.8026
angles (deg): 60.00 60.00 60.00
With the nearest neighbours (Å) after each atom.
Atoms (fractional coordinates):
Be1 0.0000 0.0000 0.0000  4 Ru 2.33, 4 Pt 2.33
Ru1 0.2500 0.2500 0.2500  4 Be 2.33
Pt1 0.7500 0.7500 0.7500  4 Be 2.33

Formation energy   -0.0952 eV per atom
Crystal system   cubic
Energy above the lowest structure with this stoichiometry   0.0 meV/atom

***

[12]
Computed, not measured: AlGa2AgO at its PBEsol-relaxed geometry at the SCAN level of DFT.

a b c (Å): 4.7172 4.7172 4.7481
angles (deg): 90.00 90.00 90.00
With the nearest neighbours (Å) after each atom.
Atoms (fractional coordinates):
Al1 0.0000 0.0000 0.0000  2 Ag 2.37
Ga1 0.0000 0.5000 0.5000  2 Ag 2.36
Ga2 0.5000 0.0000 0.5000  2 Ag 2.36
Ag1 0.0000 0.0000 0.5000  4 Ga 2.36, 2 Al 2.37
O1 0.5000 0.5000 0.0000  4 Al 3.34, 8 Ga 3.35

Crystal system   tetragonal
Formation energy from raw total energies   2.80 eV per formula unit